No. 1
DFT (PBE) results for an optimized crystal structure of KCu2Ni.

The structure in POSCAR format:
```
KCu2Ni
1.0
0.000 3.237 3.237
3.237 0.000 3.237
3.237 3.237 0.000
K Cu Ni
1 2 1
Cartesian
0.000 0.000 0.000
3.237 3.237 3.237
4.856 4.856 4.856
1.619 1.619 1.619
```

Output
Energy of formation   861 meV per atom
Energy relative to the lowest polymorph listed for this composition   465 meV/atom



No. 2
DFT (PBE) results for an optimized crystal structure of NiBPdS2.

The structure in POSCAR format:
```
NiBPdS2
1.0
4.214 0.000 0.000
0.000 4.214 0.000
0.000 0.000 4.971
Ni B Pd S
1 1 1 2
Cartesian
0.000 0.000 0.000
2.107 2.107 2.485
0.000 0.000 2.485
0.000 2.107 0.000
2.107 0.000 0.000
```

Output
Uncorrected formation energy   1206 meV per atom



No. 3
DFT (PBE) results for an optimized crystal structure of MnInC3.

The structure in POSCAR format:
```
MnInC3
1.0
4.246 0.000 0.000
0.000 4.246 0.000
0.000 0.000 4.246
Mn In C
1 1 3
Cartesian
0.000 0.000 0.000
2.123 2.123 2.123
0.000 2.123 2.123
2.123 0.000 2.123
2.123 2.123 0.000
```

Output
Energy of formation   3586 meV per atom
Energy relative to the lowest polymorph listed for this composition   1850 meV/atom



No. 4
DFT (PBE) results for an optimized crystal structure of Ta2BeCr.

The structure in POSCAR format:
```
Ta2BeCr
1.0
3.136 0.000 0.000
0.000 3.136 0.000
0.000 0.000 5.836
Ta Be Cr
2 1 1
Cartesian
0.000 0.000 0.000
1.568 1.568 1.809
0.000 0.000 3.218
1.568 1.568 4.291
```

Output
Energy of formation   85 meV per atom